A plane-wave DFT calculation with PBE was carried out for an optimized crystal structure of LiCaAcTl.

Summary:
Total moment, μB per cell: 0.0
Total DFT energy (no corrections), eV/atom: -2.8352
Space group: F-43m, No. 216
Fermi-level density of states, states/eV/f.u.: 3.167

Cell lengths 5.645, 5.645, 5.645 Å; angles 60.00, 60.00, 60.00 degrees
Fractional positions:
Li: 0.000 0.000 0.000
Tl: 0.500 0.500 0.500
Ac: 0.750 0.750 0.750
Ca: 0.250 0.250 0.250


A plane-wave DFT calculation with PBE was carried out for an optimized crystal structure of Re3Tc2As8.

Summary:
Total moment, μB per cell: 0.0
Total DFT energy (no corrections), eV/atom: -7.3222
Space group: C2/m, No. 12
Fermi-level density of states, states/eV/f.u.: 4.877

Cell lengths 5.980, 6.644, 6.644 Å; angles 62.82, 89.10, 89.10 degrees
Fractional positions:
As: 0.337 0.617 0.148
As: 0.663 0.383 0.852
As: 0.115 0.171 0.171
As: 0.337 0.148 0.617
As: 0.144 0.629 0.629
As: 0.856 0.371 0.371
As: 0.663 0.852 0.383
As: 0.885 0.829 0.829
Tc: 0.499 0.745 0.745
Tc: 0.501 0.255 0.255
Re: 0.500 0.000 0.000
Re: 0.000 0.795 0.205
Re: 0.000 0.205 0.795


A plane-wave DFT calculation with PBE was carried out for an optimized crystal structure of Pm6AgS5.

Summary:
Total moment, μB per cell: 0.0
Formation energy from raw total energies, meV/atom: -1722
Space group: C2/m, No. 12
Fermi-level density of states, states/eV/f.u.: 5.326

Cell lengths 7.064, 7.064, 7.052 Å; angles 99.60, 99.60, 120.04 degrees
Fractional positions:
Pm: 0.567 0.915 0.742
Pm: 0.739 0.739 0.257
Pm: 0.915 0.567 0.742
Pm: 0.433 0.085 0.258
Pm: 0.085 0.433 0.258
Pm: 0.261 0.261 0.743
S: 0.334 0.666 0.000
S: 0.500 0.500 0.500
S: 0.837 0.163 0.500
S: 0.666 0.334 0.000
S: 0.163 0.837 0.500
Ag: 0.000 0.000 0.000


A plane-wave DFT calculation with PBE was carried out for an optimized crystal structure of TbPm2Zn3Pt4.

Summary:
Total moment, μB per cell: 0.0
Total DFT energy (no corrections), eV/atom: -5.0367
Space group: P-4m2, No. 115
Fermi-level density of states, states/eV/f.u.: 4.648

Cell lengths 4.175, 4.175, 11.732 Å; angles 90.00, 90.00, 90.00 degrees
Fractional positions:
Pm: 0.500 0.000 0.223
Pm: 0.000 0.500 0.777
Pt: 0.000 0.000 0.000
Pt: 0.500 0.500 0.000
Pt: 0.000 0.500 0.340
Pt: 0.500 0.000 0.660
Tb: 0.500 0.500 0.500
Zn: 0.000 0.500 0.126
Zn: 0.500 0.000 0.874
Zn: 0.000 0.000 0.500